Record 1
Here is crystalline La3Al2GePd9 at its relaxed geometry from Alexandria. Energies are from PBE.

Output
DOS at the Fermi energy: 6.5 states/eV/cell
Calculated formation energy: -0.68 eV/atom
Volume: 322.06 Å³/cell
Total moment: 0.000 μB per cell

abc: 5.8217 5.8217 10.9724
angles: 90.00 90.00 120.00
Element x y z (fractional)
La (0.0000, 0.0000, 0.0000)
La (0.3333, 0.6667, 0.7175)
La (0.6667, 0.3333, 0.2825)
Al (0.3333, 0.6667, 0.1692)
Al (0.6667, 0.3333, 0.8308)
Ge (0.0000, 0.0000, 0.5000)
Pd (0.0000, 0.5000, 0.0000)
Pd (0.1687, 0.3373, 0.3385)
Pd (0.1687, 0.8313, 0.3385)
Pd (0.3373, 0.1687, 0.6615)
Pd (0.5000, 0.0000, 0.0000)
Pd (0.5000, 0.5000, 0.0000)
Pd (0.6627, 0.8313, 0.3385)
Pd (0.8313, 0.1687, 0.6615)
Pd (0.8313, 0.6627, 0.6615)



Record 2
Here is crystalline KLiMg14 at its relaxed geometry from Alexandria. Energies are from PBE.

Output
DOS at the Fermi energy: 6.0 states/eV/cell
Calculated formation energy: 0.08 eV/atom
Volume: 391.10 Å³/cell
Total moment: 0.000 μB per cell

abc: 10.7626 6.5334 6.5334
angles: 58.36 90.00 90.00
Element x y z (fractional)
K (0.0000, 0.0000, 0.0000)
Li (0.0000, 0.4914, 0.4914)
Mg (0.0000, 0.0021, 0.4964)
Mg (0.0000, 0.4964, 0.0021)
Mg (0.2399, 0.6554, 0.6554)
Mg (0.2606, 0.1587, 0.6519)
Mg (0.2606, 0.6519, 0.1587)
Mg (0.2621, 0.1622, 0.1622)
Mg (0.5000, 0.4964, 0.4964)
Mg (0.5000, 0.4967, 0.9892)
Mg (0.5000, 0.9892, 0.4967)
Mg (0.5000, 0.9950, 0.9950)
Mg (0.7379, 0.1622, 0.1622)
Mg (0.7394, 0.1587, 0.6519)
Mg (0.7394, 0.6519, 0.1587)
Mg (0.7601, 0.6554, 0.6554)



> Number 1 is which compound?

La3Al2GePd9



> Which of these has the lowest DOS at the Fermi energy?

KLiMg14



> Which of these has the lowest DOS at the Fermi energy?

KLiMg14



> The lowest calculated formation energy belongs to which entry?

La3Al2GePd9